(1)
# Tl3Fe

A relaxed Tl3Fe crystal (PBEsol, the Alexandria database).

Crystal system ... cubic
Density of states at the Fermi level ... 4.723 states/eV/cell
Energy relative to the elements ... 14.0 kcal/mol of atoms

Cell lengths 4.5070, 4.5070, 4.5070 Å; angles 90.00, 90.00, 90.00 degrees
Last column: nearest neighbours and their distance in Å.
Positions (direct):
1 Tl 0.5000 0.0000 0.5000  8 Tl 3.19, 4 Fe 3.19
2 Tl 0.5000 0.5000 0.0000  8 Tl 3.19, 4 Fe 3.19
3 Tl 0.0000 0.5000 0.5000  8 Tl 3.19, 4 Fe 3.19
4 Fe 0.0000 0.0000 0.0000  12 Tl 3.19

(2)
# MnInW2

A relaxed MnInW2 crystal (PBEsol, the Alexandria database).

Crystal system ... tetragonal
Density of states at the Fermi level ... 5.338 states/eV/cell
Energy relative to the elements ... 8.4 kcal/mol of atoms

Cell lengths 3.0117, 3.0117, 6.8569 Å; angles 90.00, 90.00, 90.00 degrees
Last column: nearest neighbours and their distance in Å.
Positions (direct):
1 Mn 0.5000 0.5000 0.7851  4 W 2.48
2 W 0.0000 0.0000 0.9710  4 Mn 2.48, 4 W 2.74
3 W 0.5000 0.5000 0.2230  8 W 2.74-3.01, 4 In 2.95, 1 Mn 3.00
4 In 0.0000 0.0000 0.5209  4 Mn 2.80, 5 W 2.95-3.09, 4 In 3.01

(3)
# HfAl2Rh

A relaxed HfAl2Rh crystal (PBEsol, the Alexandria database).

Crystal system ... tetragonal
Density of states at the Fermi level ... 3.299 states/eV/cell
Energy relative to the elements ... -4.6 kcal/mol of atoms

Cell lengths 3.7976, 3.7976, 10.0623 Å; angles 100.88, 100.88, 90.00 degrees
Last column: nearest neighbours and their distance in Å.
Positions (direct):
1 Al 0.8674 0.3750 0.2500  4 Al 2.64-2.73, 2 Rh 2.76, 2 Hf 2.78
2 Al 0.1250 0.1326 0.7500  4 Al 2.64-2.73, 2 Rh 2.76, 2 Hf 2.78
3 Al 0.6250 0.6174 0.7500  4 Al 2.64-2.73, 2 Rh 2.76, 2 Hf 2.78
4 Al 0.3826 0.8750 0.2500  4 Al 2.64-2.73, 2 Rh 2.76, 2 Hf 2.78
5 Rh 0.5000 0.5000 0.0000  4 Hf 2.69, 4 Al 2.76
6 Rh 0.7500 0.2500 0.5000  4 Hf 2.69, 4 Al 2.76
7 Hf 0.0000 0.0000 0.0000  4 Rh 2.69, 4 Al 2.78
8 Hf 0.2500 0.7500 0.5000  4 Rh 2.69, 4 Al 2.78

(4)
# AlGeBi2S

A relaxed AlGeBi2S crystal (PBEsol, the Alexandria database).

Energy relative to the elements, uncorrected ... 0.693 eV per atom
Crystal system ... tetragonal
Density of states at the Fermi level ... 5.101 states/eV/cell

Cell lengths 4.6024, 5.4046, 5.4046 Å; angles 90.00, 90.00, 90.00 degrees
Last column: nearest neighbours and their distance in Å.
Positions (direct):
1 Bi 0.0000 0.0000 0.5000  2 Al 2.70
2 Bi 0.0000 0.5000 0.0000  2 Al 2.70
3 Ge 0.5000 0.0000 0.0000  2 Al 2.30
4 S 0.5000 0.5000 0.5000  8 Bi 3.55, 4 Ge 3.82
5 Al 0.0000 0.0000 0.0000  2 Ge 2.30

(5)
# BaCd11

A relaxed BaCd11 crystal (PBEsol, the Alexandria database).

Crystal system ... tetragonal
Density of states at the Fermi level ... 4.769 states/eV/cell
Energy relative to the elements ... -4.5 kcal/mol of atoms

Cell lengths 7.6592, 9.2383, 9.2383 Å; angles 80.11, 65.51, 65.51 degrees
Last column: nearest neighbours and their distance in Å.
Positions (direct):
1 Cd 0.7500 0.5000 0.5000  12 Cd 3.12-3.21
2 Cd 0.0776 0.3259 0.9164  8 Cd 2.88-3.21
3 Cd 0.4301 0.4164 0.8259  8 Cd 2.88-3.21
4 Cd 0.0060 0.6741 0.9164  8 Cd 2.88-3.21
5 Cd 0.0060 0.9164 0.6741  8 Cd 2.88-3.21
6 Cd 0.1535 0.4164 0.1741  8 Cd 2.88-3.21
7 Cd 0.3199 0.6741 0.0836  8 Cd 2.88-3.21
8 Cd 0.7440 0.5836 0.8259  8 Cd 2.88-3.21
9 Cd 0.0776 0.9164 0.3259  8 Cd 2.88-3.21
10 Cd 0.4301 0.8259 0.4164  8 Cd 2.88-3.21
11 Cd 0.8750 0.2500 0.7500  10 Cd 2.92-3.12
12 Cd 0.5965 0.3259 0.0836  8 Cd 2.88-3.21
13 Cd 0.0000 0.0000 0.0000  12 Cd 3.12-3.21
14 Cd 0.8750 0.7500 0.2500  10 Cd 2.92-3.12
15 Cd 0.1535 0.1741 0.4164  8 Cd 2.88-3.21
16 Cd 0.7440 0.8259 0.5836  8 Cd 2.88-3.21
17 Cd 0.5965 0.0836 0.3259  8 Cd 2.88-3.21
18 Cd 0.3750 0.7500 0.7500  10 Cd 2.92-3.12
19 Cd 0.6724 0.1741 0.5836  8 Cd 2.88-3.21
20 Cd 0.8750 0.2500 0.2500  10 Cd 2.92-3.12
21 Cd 0.6724 0.5836 0.1741  8 Cd 2.88-3.21
22 Cd 0.3199 0.0836 0.6741  8 Cd 2.88-3.21
23 Ba 0.2500 0.5000 0.5000  18 Cd 3.65-3.83
24 Ba 0.5000 0.0000 0.0000  18 Cd 3.65-3.83

(6)
# ReAg2Se

A relaxed ReAg2Se crystal (PBEsol, the Alexandria database).

Energy relative to the elements, uncorrected ... 0.687 eV per atom
Crystal system ... orthorhombic
Density of states at the Fermi level ... 3.433 states/eV/cell

Cell lengths 2.9132, 4.4894, 4.9770 Å; angles 90.00, 90.00, 90.00 degrees
Last column: nearest neighbours and their distance in Å.
Positions (direct):
1 Ag 0.5000 0.5000 0.0000  6 Ag 2.68-2.91, 4 Se 2.88
2 Ag 0.0000 0.0000 0.0000  6 Ag 2.68-2.91, 4 Re 2.88
3 Re 0.5000 0.0000 0.5000  4 Se 2.68, 4 Ag 2.88, 2 Re 2.91
4 Se 0.0000 0.5000 0.5000  4 Re 2.68, 4 Ag 2.88, 2 Se 2.91

> Among the records above, which one has the lowest density of states at the Fermi level?

HfAl2Rh

> What is the density of states at the Fermi level in the fifth record?

4.769 states/eV/cell